1.
VASP calculation (GGA-PBE) on a geometry-optimized Sr2TiBePt structure.

CIF file:
```
data_Sr2TiBePt
_cell_length_a 6.032
_cell_length_b 6.032
_cell_length_c 4.596
_cell_angle_alpha 90.00
_cell_angle_beta 90.00
_cell_angle_gamma 90.00
_space_group_name_H-M_alt 'P 4/m m m'
_space_group_IT_number 123
_space_group_name_Hall '-P 4 2'
loop_
_atom_site_label
_atom_site_type_symbol
_atom_site_fract_x
_atom_site_fract_y
_atom_site_fract_z
_atom_site_occupancy
Sr1 Sr 0.000 0.500 0.000 1
Ti1 Ti 0.000 0.000 0.000 1
Be1 Be 0.500 0.500 0.500 1
Pt1 Pt 0.000 0.000 0.500 1
```

Results
**ΔE_f**: 73.06 kJ/mol of atoms
**Crystal system**: tetragonal
**DOS at the Fermi energy**: 5.03 states/eV/f.u.


2.
VASP calculation (GGA-PBE) on a geometry-optimized SrBeZn2Pt structure.

CIF file:
```
data_SrBeZn2Pt
_cell_length_a 4.878
_cell_length_b 4.878
_cell_length_c 4.453
_cell_angle_alpha 90.00
_cell_angle_beta 90.00
_cell_angle_gamma 90.00
_space_group_name_H-M_alt 'P 4/m m m'
_space_group_IT_number 123
_space_group_name_Hall '-P 4 2'
loop_
_atom_site_label
_atom_site_type_symbol
_atom_site_fract_x
_atom_site_fract_y
_atom_site_fract_z
_atom_site_occupancy
Sr1 Sr 0.000 0.000 0.000 1
Be1 Be 0.500 0.500 0.000 1
Zn1 Zn 0.000 0.500 0.500 1
Pt1 Pt 0.500 0.500 0.500 1
```

Results
**ΔE_f**: -31.17 kJ/mol of atoms
**Crystal system**: tetragonal
**DOS at the Fermi energy**: 1.60 states/eV/f.u.


3.
VASP calculation (GGA-PBE) on a geometry-optimized SrBe2ZnPt structure.

CIF file:
```
data_SrBe2ZnPt
_cell_length_a 4.457
_cell_length_b 4.457
_cell_length_c 4.833
_cell_angle_alpha 90.00
_cell_angle_beta 90.00
_cell_angle_gamma 90.00
_space_group_name_H-M_alt 'P 4/m m m'
_space_group_IT_number 123
_space_group_name_Hall '-P 4 2'
loop_
_atom_site_label
_atom_site_type_symbol
_atom_site_fract_x
_atom_site_fract_y
_atom_site_fract_z
_atom_site_occupancy
Sr1 Sr 0.000 0.000 0.000 1
Be1 Be 0.000 0.500 0.500 1
Zn1 Zn 0.500 0.500 0.000 1
Pt1 Pt 0.500 0.500 0.500 1
```

Results
**ΔE_f**: -25.39 kJ/mol of atoms
**Crystal system**: tetragonal
**DOS at the Fermi energy**: 1.22 states/eV/f.u.


4.
VASP calculation (GGA-PBE) on a geometry-optimized SrBeZnPt2 structure.

CIF file:
```
data_SrBeZnPt2
_cell_length_a 4.503
_cell_length_b 4.503
_cell_length_c 4.489
_cell_angle_alpha 90.00
_cell_angle_beta 90.00
_cell_angle_gamma 90.00
_space_group_name_H-M_alt 'P 4/m m m'
_space_group_IT_number 123
_space_group_name_Hall '-P 4 2'
loop_
_atom_site_label
_atom_site_type_symbol
_atom_site_fract_x
_atom_site_fract_y
_atom_site_fract_z
_atom_site_occupancy
Sr1 Sr 0.000 0.000 0.000 1
Be1 Be 0.500 0.500 0.500 1
Zn1 Zn 0.500 0.500 0.000 1
Pt1 Pt 0.000 0.500 0.500 1
```

Results
**ΔE_f**: -40.27 kJ/mol of atoms
**Crystal system**: tetragonal
**DOS at the Fermi energy**: 3.61 states/eV/f.u.